1.
An optimized crystal structure of PmScCuSi. Source: Alexandria via LeMat-Bulk, functional PBE-GGA.

Properties
As for the total magnetization: 0.0 μB per formula unit. Its crystal system is cubic. As for the space-group type: F-43m, No. 216. As for the formation energy from raw total energies: -0.39 eV/atom.

a b c (Å): 4.862 4.862 4.862
angles (deg): 60.00 60.00 60.00
Sites, in units of the cell vectors:
1 Sc 0.500 0.500 0.500
2 Si 0.750 0.750 0.750
3 Cu 0.250 0.250 0.250
4 Pm 0.000 0.000 0.000

2.
An optimized crystal structure of Pm2DyY2Mg2. Source: Alexandria via LeMat-Bulk, functional PBE-GGA.

Properties
The calculation puts the calculated formation energy at -0.17 eV/f.u. As for the total magnetization: 0.0 μB per formula unit. Its crystal system is trigonal. As for the space-group type: R-3m, No. 166.

a b c (Å): 5.488 5.488 8.701
angles (deg): 71.62 71.62 60.00
Sites, in units of the cell vectors:
1 Pm 0.156 0.156 0.532
2 Pm 0.844 0.844 0.468
3 Dy 0.000 0.000 0.000
4 Y 0.574 0.574 0.277
5 Y 0.426 0.426 0.723
6 Mg 0.710 0.710 0.871
7 Mg 0.290 0.290 0.129

3.
An optimized crystal structure of Li2BeCdRh. Source: Alexandria via LeMat-Bulk, functional PBE-GGA.

Properties
The calculation puts the calculated formation energy at 3.50 eV/f.u. As for the total magnetization: 0.0 μB per formula unit. Its crystal system is tetragonal. As for the space-group type: P4/mmm, No. 123.

a b c (Å): 4.515 5.145 4.515
angles (deg): 90.00 90.00 90.00
Sites, in units of the cell vectors:
1 Be 0.500 0.500 0.500
2 Li 0.000 0.000 0.500
3 Li 0.500 0.000 0.000
4 Rh 0.000 0.000 0.000
5 Cd 0.000 0.500 0.000

4.
An optimized crystal structure of La3CoAgCl. Source: Alexandria via LeMat-Bulk, functional PBE-GGA.

Properties
As for the total magnetization: 0.0 μB per formula unit. Its crystal system is monoclinic. As for the space-group type: P2_1/m, No. 11. As for the formation energy from raw total energies: -0.55 eV/atom.

a b c (Å): 4.227 8.327 9.771
angles (deg): 99.87 90.00 90.00
Sites, in units of the cell vectors:
1 La 0.250 0.705 0.437
2 La 0.750 0.864 0.107
3 La 0.750 0.439 0.155
4 La 0.750 0.295 0.563
5 La 0.250 0.561 0.845
6 La 0.250 0.136 0.893
7 Co 0.250 0.657 0.134
8 Co 0.750 0.343 0.866
9 Ag 0.750 0.786 0.728
10 Ag 0.250 0.214 0.272
11 Cl 0.250 0.067 0.606
12 Cl 0.750 0.933 0.394

5.
An optimized crystal structure of IrOsW2. Source: Alexandria via LeMat-Bulk, functional PBE-GGA.

Properties
The calculation puts the calculated formation energy at 0.49 eV/f.u. As for the total magnetization: 0.0 μB per formula unit. Its crystal system is orthorhombic. As for the space-group type: Amm2, No. 38.

a b c (Å): 2.807 2.799 8.117
angles (deg): 99.93 90.00 90.00
Sites, in units of the cell vectors:
1 Ir 0.000 0.069 0.138
2 Os 0.000 0.311 0.622
3 W 0.500 0.451 0.902
4 W 0.500 0.694 0.388

6.
An optimized crystal structure of TlP2Au. Source: Alexandria via LeMat-Bulk, functional PBE-GGA.

Properties
The calculation puts the calculated formation energy at 1.59 eV/f.u. As for the total magnetization: 0.0 μB per formula unit. Its crystal system is orthorhombic. As for the space-group type: Pmmm, No. 47.

a b c (Å): 3.976 3.966 5.248
angles (deg): 89.95 90.00 90.00
Sites, in units of the cell vectors:
1 Au 0.000 0.000 0.500
2 P 0.000 0.000 0.000
3 P 0.500 0.500 0.000
4 Tl 0.500 0.500 0.500

Per-record density of states at the Fermi level, states/eV/cell: 3.3, 7.3, 1.9, 7.3, 3.3, 2.4
Per-record DFT total energy, eV per cell: -22.2, -30.4, -12.3, -59.7, -45.5, -14.9